Entry 1:
VASP calculation (GGA-PBE) on crystalline YMnBRu2 at its relaxed geometry.

Results
Calculated density (g cm⁻³): 8.04
M_tot (μB/atom): 0.585
ΔE_f (eV/atom): -0.246
Calculated volume (Å³/atom): 14.73
Fermi-level density of states (states/eV/cell): 3.03
Final energy (eV/cell): -42.09

Lattice parameters (Å, degrees): 4.272 4.272 4.036 90.00 90.00 90.00
Each line ends with the local moment (μB).
Positions (direct):
Y (0.500, 0.500, 0.500)  0.01
Ru (0.000, 0.500, 0.000)  0.03
Ru (0.500, 0.000, 0.000)  0.03
B (0.000, 0.000, 0.000)  -0.08
Mn (0.000, 0.000, 0.500)  2.77

=====

Entry 2:
VASP calculation (GGA-PBE) on crystalline ZrMnBRu2 at its relaxed geometry.

Results
Calculated density (g cm⁻³): 8.67
M_tot (μB/atom): 0.396
ΔE_f (eV/atom): -0.359
Calculated volume (Å³/atom): 13.76
Fermi-level density of states (states/eV/cell): 3.90
Final energy (eV/cell): -44.74

Lattice parameters (Å, degrees): 4.164 4.164 3.970 90.00 90.00 90.00
Each line ends with the local moment (μB).
Positions (direct):
Ru (0.000, 0.500, 0.000)  -0.01
Ru (0.500, 0.000, 0.000)  -0.01
B (0.000, 0.000, 0.000)  -0.06
Mn (0.000, 0.000, 0.500)  2.09
Zr (0.500, 0.500, 0.500)  -0.09

=====

Entry 3:
VASP calculation (GGA-PBE) on crystalline Mn2BS4 at its relaxed geometry.

Results
Energy relative to the elements, uncorrected (eV/atom): -0.0690
Calculated density (g cm⁻³): 4.41
M_tot (μB/atom): 0.202
Calculated volume (Å³/atom): 13.39
Fermi-level density of states (states/eV/cell): 3.84
Final energy (eV/cell): -42.01

Lattice parameters (Å, degrees): 3.033 5.671 6.877 124.65 102.74 90.00
Each line ends with the local moment (μB).
Positions (direct):
Mn (0.727, 0.773, 0.454)  0.79
Mn (0.273, 0.227, 0.546)  0.79
B (0.000, 0.000, 0.000)  0.00
S (0.889, 0.229, 0.777)  -0.05
S (0.111, 0.771, 0.223)  -0.05
S (0.629, 0.264, 0.257)  -0.02
S (0.371, 0.736, 0.743)  -0.02

=====

Entry 4:
VASP calculation (GGA-PBE) on crystalline MnBS2 at its relaxed geometry.

Results
Energy relative to the elements, uncorrected (eV/atom): -0.0761
Calculated density (g cm⁻³): 4.10
M_tot (μB/atom): 0.000
Calculated volume (Å³/atom): 13.17
Fermi-level density of states (states/eV/cell): 0.05
Final energy (eV/cell): -48.81

Lattice parameters (Å, degrees): 4.873 4.873 5.617 64.29 64.29 90.00
Positions (direct):
S (0.584, 0.125, 0.250)
S (0.166, 0.625, 0.250)
S (0.375, 0.416, 0.750)
S (0.875, 0.834, 0.750)
Mn (0.000, 0.000, 0.000)
Mn (0.750, 0.250, 0.500)
B (0.500, 0.500, 0.000)
B (0.250, 0.750, 0.500)

=====

Entry 5:
VASP calculation (GGA-PBE) on crystalline Mn2BS at its relaxed geometry.

Results
Energy relative to the elements, uncorrected (eV/atom): 0.1689
Calculated density (g cm⁻³): 4.37
M_tot (μB/atom): 1.250
Calculated volume (Å³/atom): 14.50
Distance to the lowest polymorph of the same formula (eV per atom): 0.039
Fermi-level density of states (states/eV/cell): 4.84
Final energy (eV/cell): -56.94

Lattice parameters (Å, degrees): 4.819 4.819 6.046 66.51 66.51 90.00
Each line ends with the local moment (μB).
Positions (direct):
S (0.000, 0.000, 0.000)  -0.08
S (0.750, 0.250, 0.500)  -0.08
Mn (0.573, 0.125, 0.250)  2.59
Mn (0.177, 0.625, 0.250)  2.60
Mn (0.375, 0.427, 0.750)  2.63
Mn (0.875, 0.823, 0.750)  2.60
B (0.500, 0.500, 0.000)  -0.26
B (0.250, 0.750, 0.500)  -0.26

=====

Entry 6:
VASP calculation (GGA-PBE) on crystalline MnBS2 at its relaxed geometry.

Results
Energy relative to the elements, uncorrected (eV/atom): 0.0138
Calculated density (g cm⁻³): 2.93
M_tot (μB/atom): 1.049
Calculated volume (Å³/atom): 18.42
Fermi-level density of states (states/eV/cell): 0.99
Final energy (eV/cell): -24.05

Lattice parameters (Å, degrees): 6.448 6.448 6.448 33.73 33.73 33.73
Each line ends with the local moment (μB).
Positions (direct):
S (0.906, 0.906, 0.906)  0.03
S (0.094, 0.094, 0.094)  0.03
Mn (0.500, 0.500, 0.500)  3.89
B (0.000, 0.000, 0.000)  0.01

=====

Entry 7:
VASP calculation (GGA-PBE) on crystalline MnB2S6 at its relaxed geometry.

Results
Energy relative to the elements, uncorrected (eV/atom): -0.2163
Calculated density (g cm⁻³): 3.07
M_tot (μB/atom): 0.231
Calculated volume (Å³/atom): 16.19
Fermi-level density of states (states/eV/cell): 5.99
Final energy (eV/cell): -98.47

Lattice parameters (Å, degrees): 5.832 7.179 7.179 81.47 81.37 81.37
Each line ends with the local moment (μB).
Positions (direct):
Mn (0.250, 0.113, 0.887)  2.24
Mn (0.750, 0.887, 0.113)  2.24
B (0.156, 0.639, 0.787)  0.02
B (0.344, 0.213, 0.361)  0.02
B (0.844, 0.361, 0.213)  0.02
B (0.656, 0.787, 0.639)  0.02
S (0.370, 0.724, 0.572)  -0.05
S (0.130, 0.428, 0.276)  -0.05
S (0.630, 0.276, 0.428)  -0.05
S (0.870, 0.572, 0.724)  -0.05
S (0.826, 0.898, 0.406)  -0.05
S (0.674, 0.594, 0.102)  -0.05
S (0.174, 0.102, 0.594)  -0.05
S (0.326, 0.406, 0.898)  -0.05
S (0.125, 0.809, 0.974)  -0.03
S (0.375, 0.026, 0.191)  -0.03
S (0.875, 0.191, 0.026)  -0.03
S (0.625, 0.974, 0.809)  -0.03

=====

Entry 8:
VASP calculation (GGA-PBE) on crystalline MnBS4 at its relaxed geometry.

Results
Energy relative to the elements, uncorrected (eV/atom): -0.0331
Calculated density (g cm⁻³): 2.98
M_tot (μB/atom): 0.402
Calculated volume (Å³/atom): 18.01
Fermi-level density of states (states/eV/cell): 5.11
Final energy (eV/cell): -65.11

Lattice parameters (Å, degrees): 2.939 5.794 13.384 71.42 90.00 90.00
Each line ends with the local moment (μB).
Positions (direct):
Mn (0.000, 0.000, 0.500)  2.47
Mn (0.500, 0.500, 0.000)  2.47
B (0.500, 0.500, 0.500)  0.05
B (0.000, 0.000, 0.000)  0.05
S (0.500, 0.256, 0.388)  -0.04
S (0.000, 0.244, 0.112)  -0.04
S (0.500, 0.744, 0.612)  -0.04
S (0.000, 0.756, 0.888)  -0.04
S (0.000, 0.717, 0.408)  -0.07
S (0.500, 0.783, 0.092)  -0.07
S (0.000, 0.283, 0.592)  -0.07
S (0.500, 0.217, 0.908)  -0.07

=====

Entry 9:
VASP calculation (GGA-PBE) on crystalline MnBS at its relaxed geometry.

Results
Energy relative to the elements, uncorrected (eV/atom): 0.0135
Calculated density (g cm⁻³): 4.76
M_tot (μB/atom): 0.313
Calculated volume (Å³/atom): 11.37
Fermi-level density of states (states/eV/cell): 4.65
Final energy (eV/cell): -39.87

Lattice parameters (Å, degrees): 2.971 2.971 9.551 108.13 108.13 60.11
Each line ends with the local moment (μB).
Positions (direct):
B (0.351, 0.351, 0.528)  0.01
B (0.649, 0.649, 0.472)  0.01
S (0.493, 0.493, 0.739)  -0.04
S (0.507, 0.507, 0.261)  -0.04
Mn (0.258, 0.258, 0.887)  0.98
Mn (0.742, 0.742, 0.113)  0.98

=====

Entry 10:
VASP calculation (GGA-PBE) on crystalline MnBS2 at its relaxed geometry.

Results
Energy relative to the elements, uncorrected (eV/atom): 0.5082
Calculated density (g cm⁻³): 4.24
M_tot (μB/atom): 0.000
Calculated volume (Å³/atom): 12.73
Fermi-level density of states (states/eV/cell): 4.84
Final energy (eV/cell): -22.07

Lattice parameters (Å, degrees): 6.918 6.918 6.918 24.72 24.72 24.72
Positions (direct):
S (0.894, 0.894, 0.894)
S (0.106, 0.106, 0.106)
Mn (0.000, 0.000, 0.000)
B (0.500, 0.500, 0.500)

=====

Entry 11:
VASP calculation (GGA-PBE) on crystalline Mn3BS at its relaxed geometry.

Results
Energy relative to the elements, uncorrected (eV/atom): 0.5311
Calculated density (g cm⁻³): 6.17
M_tot (μB/atom): 0.000
Calculated volume (Å³/atom): 11.19
Distance to the lowest polymorph of the same formula (eV per atom): 0.000
Fermi-level density of states (states/eV/cell): 4.54
Final energy (eV/cell): -35.66

Lattice parameters (Å, degrees): 3.824 3.824 3.824 90.00 90.00 90.00
Positions (direct):
S (0.500, 0.500, 0.500)
Mn (0.000, 0.500, 0.000)
Mn (0.000, 0.000, 0.500)
Mn (0.500, 0.000, 0.000)
B (0.000, 0.000, 0.000)

=====

Entry 12:
VASP calculation (GGA-PBE) on crystalline MnB2S4 at its relaxed geometry.

Results
Energy relative to the elements, uncorrected (eV/atom): -0.2322
Calculated density (g cm⁻³): 3.51
M_tot (μB/atom): 0.180
Calculated volume (Å³/atom): 13.83
Fermi-level density of states (states/eV/cell): 3.09
Final energy (eV/cell): -40.66

Lattice parameters (Å, degrees): 3.307 5.479 6.978 126.71 103.71 90.00
Each line ends with the local moment (μB).
Positions (direct):
Mn (0.000, 0.000, 0.000)  1.24
B (0.671, 0.752, 0.342)  -0.01
B (0.329, 0.248, 0.658)  -0.01
S (0.857, 0.094, 0.713)  -0.01
S (0.143, 0.906, 0.287)  -0.01
S (0.619, 0.353, 0.237)  0.02
S (0.381, 0.647, 0.763)  0.02